Density functional theory data (GGA-PBE) for a relaxed structure of SiRhW2.

Structure (POSCAR):
```
SiRhW2
1.0
3.2433 0.0000 0.0000
0.0000 4.1830 0.0000
0.0000 0.0000 4.3549
Si Rh W
1 1 2
Cartesian
0.0000 0.0000 0.0000
1.6216 2.0915 0.0000
0.0000 2.0915 2.1774
1.6216 0.0000 2.1774
```

density of states at the Fermi level: 0.78 states/eV per atom
calculated total energy: -9.7200 eV per atom
raw formation energy: -0.050 eV/atom

---

Density functional theory data (GGA-PBE) for a relaxed structure of Ta2SbP.

Structure (POSCAR):
```
Ta2SbP
1.0
3.5478 0.0000 0.0000
0.0000 4.1200 0.0000
0.0000 0.0000 4.9709
Ta Sb P
2 1 1
Cartesian
0.0000 0.0000 0.0000
1.7739 0.0000 2.4854
0.0000 2.0600 2.4854
1.7739 2.0600 0.0000
```

density of states at the Fermi level: 0.75 states/eV per atom
calculated total energy: -8.0660 eV per atom
raw formation energy: 0.243 eV/atom